A plane-wave DFT calculation with meta-GGA SCAN was carried out for YSi at its PBEsol-relaxed geometry.

Lattice parameters (Å, degrees): 5.829 5.829 5.829 138.86 138.86 59.59
Element x y z (fractional)
Y: 0.375 0.625 0.750
Y: 0.625 0.375 0.250
Si: 0.125 0.875 0.250
Si: 0.875 0.125 0.750

Calculated values
E_tot ... -39.0 eV/f.u.
Mass density ... 4.58 Mg/m³
Size of the total moment ... 0.0 μB/cell

=====

A plane-wave DFT calculation with meta-GGA SCAN was carried out for Cs3NaI at its PBEsol-relaxed geometry.

Lattice parameters (Å, degrees): 7.366 7.366 7.366 90.00 90.00 90.00
Element x y z (fractional)
Cs: 0.000 0.000 0.500
Cs: 0.000 0.500 0.000
Cs: 0.500 0.000 0.000
Na: 0.500 0.500 0.500
I: 0.000 0.000 0.000

Calculated values
E_tot ... -157.5 eV/f.u.
Mass density ... 2.28 Mg/m³
Size of the total moment ... 0.6 μB/cell